Entry 1:
This record from Alexandria describes a relaxed PmYCF crystal. The functional is PBE-GGA.

Lattice parameters (Å, degrees): 4.2122 4.2211 5.1591 90.00 90.00 119.93
Each line ends with the local moment (μB).
Element x y z (fractional)
C 0.1698 0.3397 0.0000  -0.01
F 0.8365 0.6729 0.5000  0.02
Pm 0.1692 0.3385 0.5000  0.18
Y 0.8368 0.6736 0.0000  0.02

total magnetic moment: 0.1355 μB per atom
formation energy from raw total energies: -1241 meV per atom
DOS(E_F): 1.7 states/eV/f.u.
symmetry: Amm2, No. 38

***

Entry 2:
This record from Alexandria describes a relaxed ZnReAg crystal. The functional is PBE-GGA.

Lattice parameters (Å, degrees): 4.2260 4.2260 4.2260 60.00 60.00 60.00
Each line ends with the local moment (μB).
Element x y z (fractional)
Re 0.5000 0.5000 0.5000  1.83
Zn 0.7500 0.7500 0.7500  0.03
Ag 0.0000 0.0000 0.0000  0.02

total magnetic moment: 0.6765 μB per atom
offset from the most stable computed form: 1.090 eV per atom
DOS(E_F): 1.5 states/eV/f.u.
ΔH_f (0 K): 1149.1 meV per atom
symmetry: F-43m, No. 216

***

Entry 3:
This record from Alexandria describes a relaxed PrRh2O6 crystal. The functional is PBE-GGA.

Lattice parameters (Å, degrees): 5.2591 5.2591 5.0910 90.00 90.00 120.00
Each line ends with the local moment (μB).
Element x y z (fractional)
O 0.3677 0.0000 0.7139  0.17
O 0.6323 0.6323 0.7139  0.17
O 0.6323 0.0000 0.2861  0.17
O 0.3677 0.3677 0.2861  0.17
O 0.0000 0.3677 0.7139  0.17
O 0.0000 0.6323 0.2861  0.17
Pr 0.0000 0.0000 0.0000  0.02
Rh 0.6667 0.3333 0.5000  0.78
Rh 0.3333 0.6667 0.5000  0.78

total magnetic moment: 0.3227 μB per atom
formation energy from raw total energies: -1401 meV per atom
DOS(E_F): 4.3 states/eV/f.u.
symmetry: P-31m, No. 162

***

Entry 4:
This record from Alexandria describes a relaxed Co3BrCl crystal. The functional is PBE-GGA.

Lattice parameters (Å, degrees): 4.3421 4.3421 4.3421 90.00 90.00 90.00
Each line ends with the local moment (μB).
Element x y z (fractional)
Co 0.5000 0.0000 0.0000  1.59
Co 0.0000 0.0000 0.5000  1.46
Co 0.0000 0.5000 0.0000  1.87
Br 0.5000 0.5000 0.5000  0.15
Cl 0.0000 0.0000 0.0000  0.08

total magnetic moment: 1.0000 μB per atom
formation energy from raw total energies: 914 meV per atom
offset from the most stable computed form: 0.000 eV per atom
DOS(E_F): 9.1 states/eV/f.u.
symmetry: Pm-3m, No. 221

***

Entry 5:
This record from Alexandria describes a relaxed RbTe2P crystal. The functional is PBE-GGA.

Lattice parameters (Å, degrees): 8.4591 8.4591 7.5158 55.75 55.75 90.00
Element x y z (fractional)
Te 0.5115 0.1250 0.2500
Te 0.3750 0.4885 0.7500
Te 0.8750 0.7615 0.7500
Te 0.2385 0.6250 0.2500
P 0.5000 0.5000 0.0000
P 0.2500 0.7500 0.5000
Rb 0.7500 0.2500 0.5000
Rb 0.0000 0.0000 0.0000

total magnetic moment: 0.0000 μB per atom
formation energy from raw total energies: -213 meV per atom
DOS(E_F): 0.0 states/eV/f.u.
symmetry: I-42d, No. 122

***

Entry 6:
This record from Alexandria describes a relaxed LaGdGaGe crystal. The functional is PBE-GGA.

Lattice parameters (Å, degrees): 5.2148 5.2148 5.2148 60.00 60.00 60.00
Each line ends with the local moment (μB).
Element x y z (fractional)
Ga 0.7500 0.7500 0.7500  0.01
Ge 0.2500 0.2500 0.2500  0.03
La 0.5000 0.5000 0.5000  -0.01
Gd 0.0000 0.0000 0.0000  -7.01

total magnetic moment: 1.7735 μB per atom
DOS(E_F): 2.5 states/eV/f.u.
ΔH_f (0 K): -604.7 meV per atom
symmetry: F-43m, No. 216

***

| no. | volume (Å³ per cell) |
| --- | --- |
| 1 | 79.5 |
| 2 | 53.4 |
| 3 | 121.9 |
| 4 | 81.9 |
| 5 | 325.6 |
| 6 | 100.3 |